[1]
The following is a DFT calculation (GGA-PBE) of a relaxed Pm6ZnRh2Br3 crystal.

## Properties
Calculated volume: 345.4 Å³/cell
Final energy: -60.67 eV/cell
E_form (uncorrected): -0.93 eV/atom

Geometry as POSCAR:
```
Pm6ZnRh2Br3
1.0
7.186 -0.002 0.000
-3.593 6.224 0.000
-1.198 -2.075 7.724
Pm Zn Rh Br
6 1 2 3
Direct
0.067 0.417 0.202
0.583 0.933 0.798
0.417 0.067 0.202
0.283 0.283 0.798
0.933 0.583 0.798
0.717 0.717 0.202
0.000 0.000 0.000
0.333 0.667 0.000
0.667 0.333 0.000
0.834 0.166 0.500
0.166 0.834 0.500
0.500 0.500 0.500
```

---

[2]
The following is a DFT calculation (GGA-PBE) of a relaxed LiNd2Ga crystal.

## Properties
Excess energy over the best structure of this formula in the dataset: 282 meV/atom
Formation energy from the elements: -0.013 eV per atom
Calculated volume: 125.9 Å³/cell
Final energy: -14.53 eV/cell

Geometry as POSCAR:
```
LiNd2Ga
1.0
3.604 0.000 0.000
1.802 3.121 0.000
1.802 1.040 11.190
Nd Li Ga
2 1 1
Direct
0.899 0.899 0.303
0.101 0.101 0.697
0.000 0.000 0.000
0.500 0.500 0.500
```

---

[3]
The following is a DFT calculation (GGA-PBE) of a relaxed SrZnSe3 crystal.

## Properties
Excess energy over the best structure of this formula in the dataset: 0 meV/atom
Calculated volume: 128.0 Å³/cell
Final energy: -16.73 eV/cell
E_form (uncorrected): -0.66 eV/atom

Geometry as POSCAR:
```
SrZnSe3
1.0
5.040 0.000 0.000
0.000 5.040 0.000
0.000 0.000 5.040
Sr Se Zn
1 3 1
Direct
0.500 0.500 0.500
0.000 0.500 0.000
0.500 0.000 0.000
0.000 0.000 0.500
0.000 0.000 0.000
```

---

[4]
The following is a DFT calculation (GGA-PBE) of a relaxed ZrPa2Cr2C4 crystal.

## Properties
Formation energy from the elements: -0.263 eV per atom
Calculated volume: 117.8 Å³/cell
Final energy: -86.05 eV/cell

Geometry as POSCAR:
```
ZrPa2Cr2C4
1.0
3.217 0.000 0.000
-1.608 6.449 0.354
0.000 -1.894 5.573
C Zr Pa Cr
4 1 2 2
Direct
0.772 0.544 0.777
0.228 0.456 0.223
0.458 0.916 0.252
0.542 0.084 0.748
0.000 0.000 0.000
0.871 0.743 0.460
0.129 0.257 0.540
0.319 0.639 0.990
0.681 0.361 0.010
```